Record 1
Mg2IrSe | PBE | relaxed

a b c (Å): 6.3709 6.3709 6.3709
angles (deg): 152.51 139.38 49.75
Sites, in units of the cell vectors:
Mg (0.0000, 0.0000, 0.0000)
Mg (0.6823, 0.1823, 0.5000)
Ir (0.2015, 0.7015, 0.5000)
Se (0.3793, 0.3793, 0.0000)

---

Record 2
Mg2IrSe | PBE | relaxed

a b c (Å): 4.5975 4.5975 4.5975
angles (deg): 60.00 60.00 60.00
Sites, in units of the cell vectors:
Mg (0.0000, 0.0000, 0.0000)
Mg (0.2500, 0.2500, 0.2500)
Ir (0.5000, 0.5000, 0.5000)
Se (0.7500, 0.7500, 0.7500)

---

Record 3
MgIr3Se | PBE | relaxed

a b c (Å): 4.5491 4.5491 4.5491
angles (deg): 90.00 90.00 90.00
Sites, in units of the cell vectors:
Mg (0.0000, 0.0000, 0.0000)
Ir (0.0000, 0.0000, 0.5000)
Ir (0.0000, 0.5000, 0.0000)
Ir (0.5000, 0.0000, 0.0000)
Se (0.5000, 0.5000, 0.5000)

excess energy over the best structure of this formula in the dataset: 0.958 eV/atom

---

Record 4
Mg2IrSe | PBE | relaxed

a b c (Å): 3.5924 3.5924 5.7129
angles (deg): 90.00 90.00 90.00
Sites, in units of the cell vectors:
Mg (0.0000, 0.0000, 0.0000)
Mg (0.5000, 0.5000, 0.3200)
Ir (0.5000, 0.5000, 0.8468)
Se (0.0000, 0.0000, 0.4914)

---

Record 5
MgIr2Se | PBE | relaxed

a b c (Å): 2.9548 3.9347 5.5554
angles (deg): 90.00 90.00 90.00
Sites, in units of the cell vectors:
Mg (0.0000, 0.0000, 0.0000)
Ir (0.0000, 0.0000, 0.5039)
Ir (0.5000, 0.5000, 0.7782)
Se (0.5000, 0.5000, 0.3319)

excess energy over the best structure of this formula in the dataset: 0.073 eV/atom

---

Record 6
MgIrSe | PBE | relaxed

a b c (Å): 6.0383 6.0383 6.0383
angles (deg): 150.77 150.77 41.82
Sites, in units of the cell vectors:
Mg (0.0000, 0.0000, 0.0000)
Ir (0.6560, 0.6560, 0.0000)
Se (0.2974, 0.2974, 0.0000)

excess energy over the best structure of this formula in the dataset: 0.153 eV/atom

---

For each record above, in turn, the calculated formation energy (no corrections) values are -389.8 -86.3 1797.8 -189.1 45.1 -54.2 meV per atom.